No. 1
{"formula": "V32N3", "functional": "GGA-PBEsol", "state": "relaxed", "lattice_angstrom": [[8.559, 0.000, 0.000], [0.000, 2.943, 0.000], [-0.262, 0.000, 17.128]], "species": ["V", "V", "V", "V", "V", "V", "V", "V", "V", "V", "V", "V", "V", "V", "V", "V", "V", "V", "V", "V", "V", "V", "V", "V", "V", "V", "V", "V", "V", "V", "V", "V", "N", "N", "N"], "fractional_positions": [[0.107, 0.000, 0.304], [0.113, 0.500, 0.436], [0.122, 0.000, 0.810], [0.127, 0.500, 0.939], [0.128, 0.000, 0.558], [0.129, 0.000, 0.055], [0.148, 0.500, 0.170], [0.164, 0.500, 0.674], [0.340, 0.000, 0.421], [0.370, 0.500, 0.306], [0.372, 0.000, 0.936], [0.381, 0.500, 0.814], [0.383, 0.000, 0.183], [0.383, 0.500, 0.057], [0.390, 0.500, 0.557], [0.391, 0.000, 0.688], [0.609, 0.000, 0.312], [0.610, 0.500, 0.443], [0.617, 0.000, 0.817], [0.617, 0.500, 0.943], [0.619, 0.500, 0.186], [0.628, 0.000, 0.064], [0.630, 0.500, 0.694], [0.660, 0.000, 0.579], [0.836, 0.500, 0.326], [0.852, 0.500, 0.830], [0.871, 0.000, 0.945], [0.872, 0.000, 0.442], [0.873, 0.500, 0.061], [0.878, 0.000, 0.190], [0.887, 0.500, 0.564], [0.893, 0.000, 0.696], [0.008, 0.500, 0.752], [0.500, 0.000, 0.500], [0.992, 0.500, 0.248]], "dos_at_fermi_per_ev_fu": 42.3, "e_tot_ev_per_atom": -9.83, "crystal_system": "monoclinic", "raw_formation_energy_ev_per_fu": -10.16, "magnetic_moment_mub_per_fu": 0.00}

***

No. 2
{"formula": "YCr2Rh", "functional": "GGA-PBEsol", "state": "relaxed", "lattice_angstrom": [[3.007, 0.000, 0.000], [0.000, 3.007, 0.000], [0.000, 0.000, 7.245]], "species": ["Y", "Cr", "Cr", "Rh"], "fractional_positions": [[0.000, 0.000, 0.000], [0.500, 0.500, 0.299], [0.500, 0.500, 0.701], [0.000, 0.000, 0.500]], "dos_at_fermi_per_ev_fu": 4.5, "e_tot_ev_per_atom": -8.44, "crystal_system": "tetragonal", "magnetic_moment_mub_per_fu": 5.23, "polymorph_energy_mev_per_atom": 278}

***

No. 3
{"formula": "ReSbBr2", "functional": "GGA-PBEsol", "state": "relaxed", "lattice_angstrom": [[3.146, 0.000, 0.000], [0.000, 3.146, 0.000], [0.000, 0.000, 8.780]], "species": ["Re", "Sb", "Br", "Br"], "fractional_positions": [[0.000, 0.000, 0.000], [0.500, 0.500, 0.197], [0.000, 0.000, 0.485], [0.500, 0.500, 0.817]], "dos_at_fermi_per_ev_fu": 2.7, "e_tot_ev_per_atom": -4.98, "crystal_system": "tetragonal", "raw_formation_energy_ev_per_fu": 1.71, "magnetic_moment_mub_per_fu": 0.00}

***

No. 4
{"formula": "Mo2OsRh", "functional": "GGA-PBEsol", "state": "relaxed", "lattice_angstrom": [[0.000, 3.081, 3.081], [3.081, 0.000, 3.081], [3.081, 3.081, 0.000]], "species": ["Mo", "Mo", "Os", "Rh"], "fractional_positions": [[0.000, 0.000, 0.000], [0.250, 0.250, 0.250], [0.500, 0.500, 0.500], [0.750, 0.750, 0.750]], "dos_at_fermi_per_ev_fu": 7.8, "e_tot_ev_per_atom": -10.69, "crystal_system": "cubic", "magnetic_moment_mub_per_fu": 0.00, "polymorph_energy_mev_per_atom": 359}

***

No. 5
{"formula": "ZnHgAs2", "functional": "GGA-PBEsol", "state": "relaxed", "lattice_angstrom": [[3.832, 0.000, 0.000], [0.000, 3.832, 0.000], [0.000, 0.000, 5.412]], "species": ["Zn", "Hg", "As", "As"], "fractional_positions": [[0.000, 0.000, 0.000], [0.500, 0.500, 0.998], [0.000, 0.000, 0.499], [0.500, 0.500, 0.498]], "dos_at_fermi_per_ev_fu": 1.7, "e_tot_ev_per_atom": -2.96, "crystal_system": "tetragonal", "magnetic_moment_mub_per_fu": 0.00, "polymorph_energy_mev_per_atom": 56}

***

No. 6
{"formula": "GaIrC3", "functional": "GGA-PBEsol", "state": "relaxed", "lattice_angstrom": [[3.983, 0.000, 0.000], [0.000, 3.983, 0.000], [0.000, 0.000, 3.983]], "species": ["Ga", "Ir", "C", "C", "C"], "fractional_positions": [[0.000, 0.000, 0.000], [0.500, 0.500, 0.500], [0.000, 0.500, 0.500], [0.500, 0.000, 0.500], [0.500, 0.500, 0.000]], "dos_at_fermi_per_ev_fu": 3.6, "e_tot_ev_per_atom": -6.37, "crystal_system": "cubic", "magnetic_moment_mub_per_fu": 0.00}

***

No. 7
{"formula": "TcIr2Pt", "functional": "GGA-PBEsol", "state": "relaxed", "lattice_angstrom": [[-1.921, 1.921, 3.841], [1.921, -1.921, 3.841], [1.921, 1.921, -3.841]], "species": ["Tc", "Ir", "Ir", "Pt"], "fractional_positions": [[0.000, 0.000, 0.000], [0.250, 0.750, 0.500], [0.750, 0.250, 0.500], [0.500, 0.500, 0.000]], "dos_at_fermi_per_ev_fu": 4.7, "e_tot_ev_per_atom": -9.57, "crystal_system": "tetragonal", "magnetic_moment_mub_per_fu": 0.00, "polymorph_energy_mev_per_atom": 39}

***

No. 8
{"formula": "AsPdF2", "functional": "GGA-PBEsol", "state": "relaxed", "lattice_angstrom": [[1.400, 0.808, 7.905], [-1.400, 0.808, 7.905], [0.000, -1.616, 7.905]], "species": ["As", "Pd", "F", "F"], "fractional_positions": [[0.000, 0.000, 0.000], [0.500, 0.500, 0.500], [0.082, 0.082, 0.082], [0.918, 0.918, 0.918]], "dos_at_fermi_per_ev_fu": 3.2, "e_tot_ev_per_atom": -4.49, "crystal_system": "trigonal", "raw_formation_energy_ev_per_fu": -3.05, "magnetic_moment_mub_per_fu": 0.46}

***

No. 9
{"formula": "BaLaMgSn2", "functional": "GGA-PBEsol", "state": "relaxed", "lattice_angstrom": [[5.918, 0.000, 0.000], [0.000, 5.918, 0.000], [0.000, 0.000, 6.261]], "species": ["Ba", "La", "Mg", "Sn", "Sn"], "fractional_positions": [[0.000, 0.000, 0.000], [0.000, 0.000, 0.500], [0.500, 0.500, 0.000], [0.000, 0.500, 0.500], [0.500, 0.000, 0.500]], "dos_at_fermi_per_ev_fu": 3.8, "e_tot_ev_per_atom": -3.03, "crystal_system": "tetragonal", "magnetic_moment_mub_per_fu": 0.00}

***

No. 10
{"formula": "CoB2O4", "functional": "GGA-PBEsol", "state": "relaxed", "lattice_angstrom": [[4.680, -2.736, 0.000], [4.680, 2.736, 0.000], [-1.324, 0.000, 4.178]], "species": ["Co", "Co", "B", "B", "B", "B", "O", "O", "O", "O", "O", "O", "O", "O"], "fractional_positions": [[0.122, 0.878, 0.750], [0.878, 0.122, 0.250], [0.212, 0.424, 0.131], [0.424, 0.212, 0.631], [0.576, 0.788, 0.369], [0.788, 0.576, 0.869], [0.002, 0.704, 0.013], [0.270, 0.461, 0.474], [0.296, 0.998, 0.487], [0.461, 0.270, 0.974], [0.539, 0.730, 0.026], [0.704, 0.002, 0.513], [0.730, 0.539, 0.526], [0.998, 0.296, 0.987]], "dos_at_fermi_per_ev_fu": 0.9, "e_tot_ev_per_atom": -8.04, "crystal_system": "monoclinic", "raw_formation_energy_ev_per_fu": -13.49, "magnetic_moment_mub_per_fu": 3.00}

***

No. 11
{"formula": "MnZnP", "functional": "GGA-PBEsol", "state": "relaxed", "lattice_angstrom": [[3.716, 0.000, 0.000], [-1.858, 3.218, 0.000], [0.000, 0.000, 3.195]], "species": ["Mn", "Zn", "P"], "fractional_positions": [[0.000, 0.000, 0.000], [0.667, 0.333, 0.500], [0.333, 0.667, 0.000]], "dos_at_fermi_per_ev_fu": 1.5, "e_tot_ev_per_atom": -5.79, "crystal_system": "hexagonal", "magnetic_moment_mub_per_fu": 0.00}

***

No. 12
{"formula": "YTaMo2", "functional": "GGA-PBEsol", "state": "relaxed", "lattice_angstrom": [[4.731, 0.000, 0.000], [0.000, 4.731, 0.000], [0.000, 0.000, 3.193]], "species": ["Y", "Ta", "Mo", "Mo"], "fractional_positions": [[0.000, 0.000, 0.000], [0.500, 0.500, 0.000], [0.000, 0.500, 0.500], [0.500, 0.000, 0.500]], "dos_at_fermi_per_ev_fu": 6.1, "e_tot_ev_per_atom": -10.35, "crystal_system": "tetragonal", "magnetic_moment_mub_per_fu": 0.00, "polymorph_energy_mev_per_atom": 40}